Entry 1:
3
Lattice="4.328 0.000 0.000 -2.164 3.748 0.000 0.000 0.000 3.753" Properties=species:S:1:pos:R:3 comment="GdGeRh (GGA-PBE, relaxed)" sg="P-6m2, No. 187" dos_ef_per_ev_cell=2.16 e_tot_ev_per_atom=-9.554 pbc="T T T"
Gd 0.000 0.000 0.000
Ge 0.000 2.499 1.877
Rh 2.164 1.249 1.877

***

Entry 2:
4
Lattice="2.369 -3.184 0.000 2.369 3.184 0.000 0.000 0.000 8.349" Properties=species:S:1:pos:R:3 comment="InHgBr2 (GGA-PBE, relaxed)" sg="Cmmm, No. 65" polymorph_energy_ev_per_fu=0.991 dos_ef_per_ev_cell=3.25 pbc="T T T"
In 0.000 0.000 0.000
Hg 0.000 0.000 4.175
Br 2.369 0.000 1.867
Br 2.369 0.000 6.482

***

Entry 3:
7
Lattice="2.543 1.468 8.018 -2.543 1.468 8.018 0.000 -2.936 8.018" Properties=species:S:1:pos:R:3 comment="Tm4ScCu2 (GGA-PBE, relaxed)" sg="R-3m, No. 166" dos_ef_per_ev_cell=8.42 e_tot_ev_per_atom=-4.512 pbc="T T T"
Tm 0.000 0.000 2.906
Tm 0.000 0.000 6.815
Tm 0.000 0.000 17.239
Tm 0.000 0.000 21.148
Sc 0.000 0.000 12.027
Cu 0.000 0.000 9.539
Cu 0.000 0.000 14.515

***

Entry 4:
8
Lattice="-2.041 2.041 8.391 2.041 -2.041 8.391 2.041 2.041 -8.391" Properties=species:S:1:pos:R:3 comment="TiNbRh2 (GGA-PBE, relaxed)" sg="I-42d, No. 122" dos_ef_per_ev_cell=7.78 e_tot_ev_per_atom=-8.101 pbc="T T T"
Ti 0.000 0.000 0.000
Ti 0.000 2.041 4.196
Nb 2.041 0.000 4.196
Nb 0.000 0.000 8.391
Rh 3.061 0.967 -2.098
Rh 0.967 1.020 2.098
Rh -1.020 1.074 6.293
Rh 1.074 1.020 10.489

***

Entry 5:
4
Lattice="1.843 1.064 7.112 -1.843 1.064 7.112 0.000 -2.128 7.112" Properties=species:S:1:pos:R:3 comment="Nd2NCl (GGA-PBE, relaxed)" sg="R3m, No. 160" dos_ef_per_ev_cell=0.80 e_tot_ev_per_atom=-6.449 pbc="T T T"
Nd 0.000 0.000 0.000
Nd 0.000 0.000 4.431
N 0.000 0.000 12.826
Cl 0.000 0.000 16.442

***

Entry 6:
4
Lattice="2.386 1.378 7.954 -2.386 1.378 7.954 0.000 -2.755 7.954" Properties=species:S:1:pos:R:3 comment="Ba2TeOs (GGA-PBE, relaxed)" sg="R-3m, No. 166" dos_ef_per_ev_cell=1.96 e_tot_ev_per_atom=-4.436 pbc="T T T"
Ba 0.000 0.000 5.833
Ba 0.000 0.000 18.030
Te 0.000 0.000 0.000
Os 0.000 0.000 11.932

***

Entry 7:
18
Lattice="8.508 -4.005 0.000 8.508 4.005 0.000 0.000 0.000 8.013" Properties=species:S:1:pos:R:3 comment="Pm5Ru2I2 (GGA-PBE, relaxed)" sg="Cmce, No. 64" dos_ef_per_ev_cell=14.87 e_tot_ev_per_atom=-5.619 pbc="T T T"
Pm 0.000 0.000 0.000
Pm 6.721 2.761 5.247
Pm 6.721 1.244 1.241
Pm 10.295 2.761 5.247
Pm 10.295 1.244 1.241
Pm 8.508 0.000 4.006
Pm 6.721 -1.244 6.772
Pm 6.721 -2.761 2.765
Pm 10.295 -1.244 6.772
Pm 10.295 -2.761 2.765
Ru 8.508 2.859 2.868
Ru 8.508 1.147 6.874
Ru 8.508 -1.147 1.139
Ru 8.508 -2.859 5.145
I 3.676 0.000 0.000
I 4.832 0.000 4.006
I 12.184 0.000 4.006
I 13.340 0.000 0.000

***

Entry 8:
12
Lattice="4.761 0.000 0.000 0.000 4.547 0.000 -2.309 0.000 11.020" Properties=species:S:1:pos:R:3 comment="Li3In2Ag7 (GGA-PBE, relaxed)" sg="P2/m, No. 10" polymorph_energy_ev_per_fu=0.000 dos_ef_per_ev_cell=3.61 pbc="T T T"
Li 0.000 0.000 0.000
Li 0.064 2.273 7.799
Li 2.388 2.273 3.221
In 0.027 0.000 3.320
In 2.425 0.000 7.700
Ag -0.003 2.273 1.562
Ag 0.039 0.000 6.220
Ag 0.047 0.000 9.351
Ag 2.381 2.273 0.000
Ag 2.405 0.000 1.669
Ag 2.414 0.000 4.800
Ag 2.455 2.273 9.458